1.
DFT (GGA-PBE) results for an optimized crystal structure of DyTlIn.

As for the total magnetization: 0.000 μB/f.u. For the uncorrected energy, the calculation gives -9.8 eV per formula unit. As for the energy above the most stable polymorph in this dataset: 344 meV per atom. As for the space-group type: F-43m.

abc: 5.0725 5.0725 5.0725
angles: 60.00 60.00 60.00
Last column: nearest neighbours and their distance in Å.
Element x y z (fractional)
Dy 0.0000 0.0000 0.0000  4 Tl 3.11, 4 In 3.11
In 0.2500 0.2500 0.2500  4 Dy 3.11
Tl 0.7500 0.7500 0.7500  4 Dy 3.11

2.
DFT (GGA-PBE) results for an optimized crystal structure of CoNiBMo.

As for the total magnetization: 0.007 μB/f.u. For the uncorrected energy, the calculation gives -29.5 eV per formula unit. As for the energy above the most stable polymorph in this dataset: 8 meV per atom. As for the space-group type: F-43m.

abc: 3.9344 3.9344 3.9344
angles: 60.00 60.00 60.00
Last column: nearest neighbours and their distance in Å.
Element x y z (fractional)
B 0.0000 0.0000 0.0000  4 Mo 2.41, 4 Ni 2.41
Co 0.5000 0.5000 0.5000  4 Ni 2.41, 4 Mo 2.41
Mo 0.2500 0.2500 0.2500  4 Co 2.41, 4 B 2.41
Ni 0.7500 0.7500 0.7500  4 Co 2.41, 4 B 2.41

3.
DFT (GGA-PBE) results for an optimized crystal structure of GdDyEr.

As for the total magnetization: 0.005 μB/f.u. For the uncorrected energy, the calculation gives -11.7 eV per formula unit. The calculation puts the formation energy from the elements at 0.72 eV/atom. As for the space-group type: F-43m.

abc: 5.3931 5.3931 5.3931
angles: 60.00 60.00 60.00
Last column: nearest neighbours and their distance in Å.
Element x y z (fractional)
Dy 0.2500 0.2500 0.2500  4 Er 3.30
Er 0.0000 0.0000 0.0000  4 Gd 3.30, 4 Dy 3.30
Gd 0.7500 0.7500 0.7500  4 Er 3.30

4.
DFT (GGA-PBE) results for an optimized crystal structure of AgSbTe3Pd.

For the uncorrected energy, the calculation gives -22.5 eV per formula unit. As for the space-group type: P2_12_12_1.

abc: 5.4787 8.8417 14.5117
angles: 90.00 90.00 90.00
Last column: nearest neighbours and their distance in Å.
Element x y z (fractional)
Ag 0.4528 0.5967 0.0450  4 Te 2.73-2.86
Ag 0.5472 0.0967 0.4550  4 Te 2.73-2.86
Ag 0.0472 0.4033 0.5450  4 Te 2.73-2.86
Ag 0.9528 0.9033 0.9550  4 Te 2.73-2.86
Pd 0.9501 0.3405 0.2393  4 Te 2.63-2.68
Pd 0.0499 0.8405 0.2607  4 Te 2.63-2.68
Pd 0.5499 0.6595 0.7393  4 Te 2.63-2.68
Pd 0.4501 0.1595 0.7607  4 Te 2.63-2.68
Sb 0.5812 0.1426 0.1519  3 Te 2.86-3.00, 1 Pd 2.96
Sb 0.4188 0.6426 0.3481  3 Te 2.86-3.00, 1 Pd 2.96
Sb 0.9188 0.8574 0.6519  3 Te 2.86-3.00, 1 Pd 2.96
Sb 0.0812 0.3574 0.8481  3 Te 2.86-3.00, 1 Pd 2.96
Te 0.2047 0.3354 0.0816  1 Pd 2.68, 1 Ag 2.73, 1 Sb 2.86
Te 0.2700 0.8757 0.1014  1 Pd 2.63, 2 Ag 2.76-2.79
Te 0.7784 0.6099 0.1988  2 Pd 2.63-2.68, 1 Ag 2.86, 1 Sb 2.94
Te 0.2216 0.1099 0.3012  2 Pd 2.63-2.68, 1 Ag 2.86, 1 Sb 2.94
Te 0.7300 0.3757 0.3986  1 Pd 2.63, 2 Ag 2.76-2.79
Te 0.7953 0.8354 0.4184  1 Pd 2.68, 1 Ag 2.73, 1 Sb 2.86
Te 0.2953 0.6646 0.5816  1 Pd 2.68, 1 Ag 2.73, 1 Sb 2.86
Te 0.2300 0.1243 0.6014  1 Pd 2.63, 2 Ag 2.76-2.79
Te 0.7216 0.3901 0.6988  2 Pd 2.63-2.68, 1 Ag 2.86, 1 Sb 2.94
Te 0.2784 0.8901 0.8012  2 Pd 2.63-2.68, 1 Ag 2.86, 1 Sb 2.94
Te 0.7700 0.6243 0.8986  1 Pd 2.63, 2 Ag 2.76-2.79
Te 0.7047 0.1646 0.9184  1 Pd 2.68, 1 Ag 2.73, 1 Sb 2.86

no.,mass density (g/cm³)
1,8.7
2,8.7
3,7.3
4,6.8